{
  "formula": "Rb2AuBrO",
  "functional": "PBE",
  "state": "optimized geometry",
  "total_energy_ev_per_atom": -3.4521,
  "raw_formation_energy_ev_per_atom": -1.083,
  "e_above_lowest_polymorph_mev_per_atom": 0,
  "spacegroup": "P4/mmm (123)",
  "lattice_angstrom": [[5.994, 0.000, 0.000], [0.000, 5.994, 0.000], [0.000, 0.000, 4.063]],
  "species": ["Br", "O", "Rb", "Rb", "Au"],
  "fractional_positions": [[0.500, 0.500, 0.500], [0.000, 0.000, 0.000], [0.000, 0.500, 0.000], [0.500, 0.000, 0.000], [0.000, 0.000, 0.500]]
}

{
  "formula": "Rb2AuBr6O",
  "functional": "PBE",
  "state": "optimized geometry",
  "total_energy_ev_per_atom": -2.6271,
  "raw_formation_energy_ev_per_atom": -0.606,
  "spacegroup": "I4/mmm (139)",
  "lattice_angstrom": [[7.200, 0.000, 0.000], [0.000, 7.200, 0.000], [3.600, 3.600, 5.669]],
  "species": ["O", "Br", "Br", "Br", "Br", "Br", "Br", "Rb", "Rb", "Au"],
  "fractional_positions": [[0.500, 0.500, 0.000], [0.731, 0.269, 0.000], [0.731, 0.731, 0.000], [0.221, 0.221, 0.558], [0.779, 0.779, 0.442], [0.269, 0.269, 0.000], [0.269, 0.731, 0.000], [0.750, 0.250, 0.500], [0.250, 0.750, 0.500], [0.000, 0.000, 0.000]]
}

{
  "formula": "Rb8AuBr2O",
  "functional": "PBE",
  "state": "optimized geometry",
  "total_energy_ev_per_atom": -2.4277,
  "raw_formation_energy_ev_per_atom": -0.818,
  "spacegroup": "P2/m (10)",
  "lattice_angstrom": [[-6.495, 4.224, -2.018], [-4.545, -3.754, 5.392], [2.328, 6.771, 6.678]],
  "species": ["O", "Rb", "Rb", "Rb", "Rb", "Rb", "Rb", "Rb", "Rb", "Br", "Br", "Au"],
  "fractional_positions": [[0.000, 0.000, 0.000], [0.823, 0.184, 0.205], [0.689, 0.702, 0.500], [0.255, 0.248, 0.000], [0.745, 0.752, 0.000], [0.177, 0.816, 0.205], [0.823, 0.184, 0.795], [0.177, 0.816, 0.795], [0.311, 0.298, 0.500], [0.500, 0.500, 0.233], [0.500, 0.500, 0.767], [0.000, 0.000, 0.500]]
}

{
  "formula": "Rb8AuBr2O3",
  "functional": "PBE",
  "state": "optimized geometry",
  "total_energy_ev_per_atom": -3.1204,
  "raw_formation_energy_ev_per_atom": -1.032,
  "spacegroup": "R3m (160)",
  "lattice_angstrom": [[-0.556, 8.733, -1.976], [-4.865, 5.472, 5.184], [4.637, 6.168, 5.602]],
  "species": ["Rb", "Rb", "Rb", "Rb", "Rb", "Rb", "Rb", "Rb", "Au", "Br", "Br", "O", "O", "O"],
  "fractional_positions": [[0.248, 0.248, 0.823], [0.750, 0.320, 0.179], [0.320, 0.750, 0.179], [0.268, 0.268, 0.195], [0.681, 0.248, 0.823], [0.729, 0.729, 0.812], [0.750, 0.750, 0.179], [0.248, 0.681, 0.823], [0.874, 0.874, 0.376], [0.499, 0.499, 0.502], [0.124, 0.124, 0.627], [0.999, 0.500, 0.001], [0.500, 0.999, 0.001], [0.500, 0.500, 0.001]]
}

{
  "formula": "Rb8Au3Br3O",
  "functional": "PBE",
  "state": "optimized geometry",
  "total_energy_ev_per_atom": -2.8358,
  "raw_formation_energy_ev_per_atom": -0.999,
  "spacegroup": "R-3m (166)",
  "lattice_angstrom": [[9.880, 0.000, 0.000], [-4.940, 8.557, -0.032], [0.000, -5.678, 8.052]],
  "species": ["Br", "Br", "Br", "Au", "Au", "Au", "Rb", "Rb", "Rb", "Rb", "Rb", "Rb", "Rb", "Rb", "O"],
  "fractional_positions": [[0.000, 0.500, 0.000], [0.000, 0.000, 0.000], [0.500, 0.500, 0.000], [0.500, 0.000, 0.500], [0.500, 0.500, 0.500], [0.000, 0.500, 0.500], [0.203, 0.405, 0.705], [0.800, 0.002, 0.705], [0.248, 0.496, 0.244], [0.797, 0.595, 0.295], [0.797, 0.998, 0.295], [0.752, 0.504, 0.756], [0.200, 0.998, 0.295], [0.203, 0.002, 0.705], [0.000, 0.000, 0.500]]
}

{
  "formula": "AuSeBr2O",
  "functional": "PBE",
  "state": "optimized geometry",
  "total_energy_ev_per_atom": -2.3013,
  "raw_formation_energy_ev_per_atom": 0.712,
  "e_above_lowest_polymorph_mev_per_atom": 0,
  "spacegroup": "P4/mmm (123)",
  "lattice_angstrom": [[4.903, 0.000, 0.000], [0.000, 4.903, 0.000], [0.000, 0.000, 4.280]],
  "species": ["Au", "Se", "O", "Br", "Br"],
  "fractional_positions": [[0.500, 0.500, 0.500], [0.000, 0.000, 0.500], [0.000, 0.000, 0.000], [0.500, 0.000, 0.000], [0.000, 0.500, 0.000]]
}

{
  "formula": "AuSeBr2O",
  "functional": "PBE",
  "state": "optimized geometry",
  "total_energy_ev_per_atom": -1.9592,
  "raw_formation_energy_ev_per_atom": 1.054,
  "e_above_lowest_polymorph_mev_per_atom": 342,
  "spacegroup": "P4/mmm (123)",
  "lattice_angstrom": [[5.178, 0.000, 0.000], [0.000, 5.178, 0.000], [0.000, 0.000, 5.144]],
  "species": ["O", "Se", "Br", "Br", "Au"],
  "fractional_positions": [[0.500, 0.500, 0.500], [0.000, 0.000, 0.500], [0.000, 0.500, 0.000], [0.500, 0.000, 0.000], [0.000, 0.000, 0.000]]
}

{
  "formula": "Tl2AuBrO",
  "functional": "PBE",
  "state": "optimized geometry",
  "total_energy_ev_per_atom": -2.4598,
  "raw_formation_energy_ev_per_atom": 0.468,
  "spacegroup": "P4/mmm (123)",
  "lattice_angstrom": [[-1.128, -3.063, -5.444], [-1.629, -4.022, 2.600], [-5.902, 2.333, -0.089]],
  "species": ["Br", "O", "Tl", "Tl", "Au"],
  "fractional_positions": [[0.000, 0.000, 0.000], [0.500, 0.500, 0.500], [0.000, 0.000, 0.500], [0.500, 0.000, 0.000], [0.000, 0.500, 0.000]]
}

{
  "formula": "Os2AuBr",
  "functional": "PBE",
  "state": "optimized geometry",
  "total_energy_ev_per_atom": -5.4134,
  "raw_formation_energy_ev_per_atom": 1.439,
  "e_above_lowest_polymorph_mev_per_atom": 596,
  "spacegroup": "Pmmm (47)",
  "lattice_angstrom": [[-1.402, -1.560, 2.482], [-0.190, -2.679, -1.792], [5.749, -1.817, 2.107]],
  "species": ["Br", "Au", "Os", "Os"],
  "fractional_positions": [[0.500, 0.500, 0.750], [0.500, 0.500, 0.250], [0.000, 0.000, 0.476], [0.000, 0.000, 0.024]]
}

{
  "formula": "Os2AuBr",
  "functional": "PBE",
  "state": "optimized geometry",
  "total_energy_ev_per_atom": -5.3958,
  "raw_formation_energy_ev_per_atom": 1.457,
  "e_above_lowest_polymorph_mev_per_atom": 613,
  "spacegroup": "Cmmm (65)",
  "lattice_angstrom": [[-3.742, -1.811, -2.373], [2.867, -3.795, 0.542], [-1.308, -0.626, 2.541]],
  "species": ["Os", "Os", "Au", "Br"],
  "fractional_positions": [[0.500, 0.500, 0.000], [0.000, 0.000, 0.000], [0.500, 0.000, 0.500], [0.000, 0.500, 0.500]]
}

{
  "formula": "Os2AuBr",
  "functional": "PBE",
  "state": "optimized geometry",
  "total_energy_ev_per_atom": -5.4426,
  "raw_formation_energy_ev_per_atom": 1.410,
  "e_above_lowest_polymorph_mev_per_atom": 567,
  "spacegroup": "P4/mmm (123)",
  "lattice_angstrom": [[-0.435, 0.614, 2.834], [-2.717, -1.086, -0.182], [2.629, -6.894, 1.898]],
  "species": ["Br", "Os", "Os", "Au"],
  "fractional_positions": [[0.500, 0.500, 0.750], [0.000, 0.000, 0.001], [0.000, 0.000, 0.499], [0.500, 0.500, 0.250]]
}

{
  "formula": "OsAu4Br",
  "functional": "PBE",
  "state": "optimized geometry",
  "total_energy_ev_per_atom": -3.3883,
  "raw_formation_energy_ev_per_atom": 0.947,
  "spacegroup": "F-43m (216)",
  "lattice_angstrom": [[-3.465, -3.458, -2.604], [-5.427, 1.123, -0.175], [-2.364, 1.522, -4.779]],
  "species": ["Au", "Au", "Au", "Au", "Br", "Os"],
  "fractional_positions": [[0.375, 0.375, 0.375], [0.375, 0.375, 0.875], [0.375, 0.875, 0.375], [0.875, 0.375, 0.375], [0.750, 0.750, 0.750], [0.000, 0.000, 0.000]]
}